(1)
# AcRh2Pb4 | the Alexandria database | PBE | optimized geometry
# - Total energy: -5.11 eV/atom
# - E above lowest polymorph: 0 meV/atom
# - ρ: 11.898 g cm⁻³
# - Formation energy: -2.2 eV/f.u.
data_AcRh2Pb4
_symmetry_space_group_name_H-M 'P n m a'
_symmetry_Int_Tables_number 62
_symmetry_space_group_name_Hall '-P 2ac 2n'
_cell_length_a 19.443
_cell_length_b 4.714
_cell_length_c 7.684
_cell_angle_alpha 90.00
_cell_angle_beta 90.00
_cell_angle_gamma 90.00
loop_
_atom_site_label
_atom_site_type_symbol
_atom_site_fract_x
_atom_site_fract_y
_atom_site_fract_z
_atom_site_occupancy
Ac1 Ac 0.142 0.250 0.019 1
Rh1 Rh 0.036 0.750 0.237 1
Rh2 Rh 0.216 0.250 0.531 1
Pb1 Pb 0.031 0.750 0.857 1
Pb2 Pb 0.068 0.250 0.496 1
Pb3 Pb 0.181 0.750 0.320 1
Pb4 Pb 0.195 0.750 0.731 1

(2)
# SmDyHgRu | the Alexandria database | PBE | optimized geometry
# - Total energy: -5.04 eV/atom
# - E above lowest polymorph: 110 meV/atom
# - ρ: 11.008 g cm⁻³
# - Formation energy: -1.3 eV/f.u.
data_SmDyHgRu
_symmetry_space_group_name_H-M 'F -4 3 m'
_symmetry_Int_Tables_number 216
_symmetry_space_group_name_Hall 'F -4 2 3'
_cell_length_a 7.184
_cell_length_b 7.184
_cell_length_c 7.184
_cell_angle_alpha 90.00
_cell_angle_beta 90.00
_cell_angle_gamma 90.00
loop_
_atom_site_label
_atom_site_type_symbol
_atom_site_fract_x
_atom_site_fract_y
_atom_site_fract_z
_atom_site_occupancy
Sm1 Sm 0.000 0.000 0.000 1
Dy1 Dy 0.000 0.000 0.500 1
Hg1 Hg 0.250 0.250 0.250 1
Ru1 Ru 0.250 0.250 0.750 1

(3)
# TbNd2Sm2Ho2 | the Alexandria database | PBE | optimized geometry
# - Total energy: -4.66 eV/atom
# - ρ: 7.725 g cm⁻³
# - Formation energy: 0.1 eV/f.u.
data_TbNd2Sm2Ho2
_symmetry_space_group_name_H-M 'C 1 2/m 1'
_symmetry_Int_Tables_number 12
_symmetry_space_group_name_Hall '-C 2y'
_cell_length_a 11.399
_cell_length_b 5.096
_cell_length_c 8.059
_cell_angle_alpha 90.00
_cell_angle_beta 98.14
_cell_angle_gamma 90.00
loop_
_atom_site_label
_atom_site_type_symbol
_atom_site_fract_x
_atom_site_fract_y
_atom_site_fract_z
_atom_site_occupancy
Tb1 Tb 0.000 0.000 0.000 1
Nd1 Nd 0.143 0.000 0.428 1
Sm1 Sm 0.071 0.500 0.718 1
Ho1 Ho 0.215 0.500 0.140 1

(4)
# BaThMg2 | the Alexandria database | PBE | optimized geometry
# - Total energy: -3.06 eV/atom
# - ρ: 5.163 g cm⁻³
# - Formation energy: 0.3 eV/f.u.
data_BaThMg2
_symmetry_space_group_name_H-M 'P 4/m m m'
_symmetry_Int_Tables_number 123
_symmetry_space_group_name_Hall '-P 4 2'
_cell_length_a 3.932
_cell_length_b 3.932
_cell_length_c 8.696
_cell_angle_alpha 90.00
_cell_angle_beta 90.00
_cell_angle_gamma 90.00
loop_
_atom_site_label
_atom_site_type_symbol
_atom_site_fract_x
_atom_site_fract_y
_atom_site_fract_z
_atom_site_occupancy
Ba1 Ba 0.000 0.000 0.000 1
Th1 Th 0.000 0.000 0.500 1
Mg1 Mg 0.500 0.500 0.284 1

(5)
# Tm3Cu7Si4 | the Alexandria database | PBE | optimized geometry
# - Total energy: -5.04 eV/atom
# - ρ: 8.173 g cm⁻³
# - Formation energy without anion corrections: -0.4877 eV per atom
data_Tm3Cu7Si4
_symmetry_space_group_name_H-M 'C 1 2/m 1'
_symmetry_Int_Tables_number 12
_symmetry_space_group_name_Hall '-C 2y'
_cell_length_a 14.882
_cell_length_b 4.043
_cell_length_c 8.962
_cell_angle_alpha 90.00
_cell_angle_beta 126.70
_cell_angle_gamma 90.00
loop_
_atom_site_label
_atom_site_type_symbol
_atom_site_fract_x
_atom_site_fract_y
_atom_site_fract_z
_atom_site_occupancy
Tm1 Tm 0.000 0.000 0.000 1
Tm2 Tm 0.194 0.500 0.693 1
Cu1 Cu 0.000 0.000 0.500 1
Cu2 Cu 0.003 0.500 0.299 1
Cu3 Cu 0.145 0.000 0.411 1
Cu4 Cu 0.173 0.500 0.025 1
Si1 Si 0.121 0.000 0.838 1
Si2 Si 0.161 0.500 0.285 1

(6)
# CrRuN | the Alexandria database | PBE | optimized geometry
# - Total energy: -9.15 eV/atom
# - E above lowest polymorph: 60 meV/atom
# - ρ: 8.502 g cm⁻³
# - Formation energy without anion corrections: -0.0748 eV per atom
data_CrRuN
_symmetry_space_group_name_H-M 'C 1 m 1'
_symmetry_Int_Tables_number 8
_symmetry_space_group_name_Hall 'C -2y'
_cell_length_a 10.111
_cell_length_b 2.746
_cell_length_c 5.080
_cell_angle_alpha 90.00
_cell_angle_beta 112.26
_cell_angle_gamma 90.00
loop_
_atom_site_label
_atom_site_type_symbol
_atom_site_fract_x
_atom_site_fract_y
_atom_site_fract_z
_atom_site_occupancy
Cr1 Cr 0.000 0.000 0.000 1
Cr2 Cr 0.230 0.000 0.889 1
Ru1 Ru 0.004 0.500 0.559 1
Ru2 Ru 0.261 0.500 0.489 1
N1 N 0.148 0.500 0.065 1
N2 N 0.414 0.000 0.152 1

Number 1: Fermi-level density of states 14.1 states/eV per cell. Number 2: Fermi-level density of states 13.5 states/eV per cell. Number 3: Fermi-level density of states 19.9 states/eV per cell. Number 4: Fermi-level density of states 3.7 states/eV per cell. Number 5: Fermi-level density of states 9.4 states/eV per cell. Number 6: Fermi-level density of states 10.0 states/eV per cell.